1.
DFT (PBE-GGA) results for an optimized crystal structure of Cs3Hg7Bi2.

Properties
Formation energy   -155 meV/atom

Structure (POSCAR):
```
Cs3Hg7Bi2
1.0
3.071 -16.086 0.000
3.071 16.086 0.000
0.000 0.000 5.280
Cs Hg Bi
3 7 2
direct
0.000 0.000 0.000
0.201 0.799 0.000
0.799 0.201 0.000
0.096 0.904 0.500
0.293 0.707 0.500
0.354 0.646 0.000
0.500 0.500 0.500
0.646 0.354 0.000
0.707 0.293 0.500
0.904 0.096 0.500
0.409 0.591 0.500
0.591 0.409 0.500
```

---

2.
DFT (PBE-GGA) results for an optimized crystal structure of La2MgZnAu6.

Properties
Formation energy   -336 meV/atom

Structure (POSCAR):
```
La2MgZnAu6
1.0
6.999 0.000 0.000
-0.004 7.001 0.000
-3.497 -3.492 4.960
La Mg Zn Au
2 1 1 6
direct
0.250 0.250 0.000
0.750 0.750 0.000
0.000 0.500 0.500
0.500 0.000 0.500
0.252 0.753 0.005
0.252 0.753 0.500
0.253 0.247 0.500
0.747 0.753 0.500
0.748 0.247 0.500
0.748 0.247 0.995
```

---

3.
DFT (PBE-GGA) results for an optimized crystal structure of CsSi2Pb2.

Properties
Energy above the lowest structure with this stoichiometry   0.096 eV per formula unit
E_form (uncorrected)   0.21 eV/atom

Structure (POSCAR):
```
CsSi2Pb2
1.0
-2.260 2.260 8.345
2.260 -2.260 8.345
2.260 2.260 -8.345
Cs Si Pb
1 2 2
direct
0.000 0.000 0.000
0.250 0.750 0.500
0.750 0.250 0.500
0.355 0.355 0.000
0.645 0.645 0.000
```

---

4.
DFT (PBE-GGA) results for an optimized crystal structure of K2TcPb.

Properties
Formation energy   569 meV/atom

Structure (POSCAR):
```
K2TcPb
1.0
10.387 -1.672 0.000
10.387 1.672 0.000
-0.911 0.000 4.293
K Tc Pb
2 1 1
direct
0.149 0.149 0.145
0.851 0.851 0.855
0.500 0.500 0.000
0.000 0.000 0.500
```

---

5.
DFT (PBE-GGA) results for an optimized crystal structure of Be2NbI.

Properties
Energy above the lowest structure with this stoichiometry   1.139 eV per formula unit
E_form (uncorrected)   1.26 eV/atom

Structure (POSCAR):
```
Be2NbI
1.0
0.000 3.205 3.205
3.205 0.000 3.205
3.205 3.205 0.000
Be Nb I
2 1 1
direct
0.250 0.250 0.250
0.750 0.750 0.750
0.000 0.000 0.000
0.500 0.500 0.500
```

---

6.
DFT (PBE-GGA) results for an optimized crystal structure of HfTa2TiCr.

Properties
Energy above the lowest structure with this stoichiometry   0.000 eV per formula unit
Formation energy   659 meV/atom

Structure (POSCAR):
```
HfTa2TiCr
1.0
4.686 0.000 0.000
0.000 4.686 0.000
0.000 0.000 4.437
Hf Ta Ti Cr
1 2 1 1
direct
0.000 0.000 0.000
0.000 0.500 0.500
0.500 0.000 0.500
0.500 0.500 0.000
0.500 0.500 0.500
```